[1]
Computed, not measured: an optimized crystal structure of Si2Rh2Pb at the PBE level of DFT.

Structure (POSCAR):
```
Si2Rh2Pb
1.0
-2.713 3.651 -0.444
-2.466 -1.396 3.587
2.738 2.376 2.807
Pb Si Rh
1 2 2
Cartesian
-1.221 2.316 2.974
0.000 0.000 0.000
1.369 1.188 1.403
-1.233 -0.698 1.793
-1.357 1.826 -0.222
```

Values from the calculation:
Formation energy from raw total energies: 0.30 eV per atom

---

[2]
Computed, not measured: an optimized crystal structure of BeZn2Cd2Au5 at the PBE level of DFT.

Structure (POSCAR):
```
BeZn2Cd2Au5
1.0
-2.897 0.151 -0.830
2.807 -2.176 -10.194
-1.108 -10.559 1.949
Be Zn Cd Au
2 4 4 10
Cartesian
0.000 0.000 0.000
0.850 -6.368 -4.122
-0.306 -7.135 -0.227
2.005 -5.600 -8.018
0.866 -10.426 -4.917
0.833 -2.309 -3.328
1.693 -3.262 -6.504
0.006 -9.473 -1.740
0.115 -3.848 -1.099
1.584 -8.887 -7.146
-0.946 -0.563 -2.283
-0.251 -12.021 -6.791
-2.287 -8.552 0.946
-0.049 -6.469 -6.490
1.089 -4.032 -10.020
-1.149 -6.115 -2.584
-0.745 -8.319 -4.395
-0.453 -4.265 -4.679
-0.045 -1.013 -5.512
-2.002 -5.204 0.560
```

Values from the calculation:
Energy of formation: -1.2 eV per formula unit

---

[3]
Computed, not measured: an optimized crystal structure of HfNi3Se at the PBE level of DFT.

Structure (POSCAR):
```
HfNi3Se
1.0
-1.484 0.308 4.044
2.431 -3.379 1.149
3.246 2.671 0.988
Ni Hf Se
3 1 1
Cartesian
1.215 -1.690 0.575
1.623 1.336 0.494
-0.742 0.154 2.022
2.097 -0.200 3.091
0.000 0.000 0.000
```

Values from the calculation:
Excess energy over the best structure of this formula in the dataset: 0 meV per atom
Formation energy from raw total energies: 0.24 eV per atom

---

[4]
Computed, not measured: an optimized crystal structure of LuZr2N at the PBE level of DFT.

Structure (POSCAR):
```
LuZr2N
1.0
3.272 0.000 0.000
1.636 2.834 0.000
1.636 0.945 8.721
Lu Zr N
1 2 1
Cartesian
0.000 0.000 0.000
1.636 0.945 5.611
4.908 2.834 3.111
3.272 1.889 4.361
```

Values from the calculation:
Excess energy over the best structure of this formula in the dataset: 0 meV per atom
Formation energy from raw total energies: -0.66 eV per atom

---

[5]
Computed, not measured: an optimized crystal structure of MgRhCl at the PBE level of DFT.

Structure (POSCAR):
```
MgRhCl
1.0
3.758 0.001 0.007
-0.001 3.475 0.002
3.492 0.000 10.718
Mg Rh Cl
2 2 2
Cartesian
3.565 3.088 5.771
5.455 1.349 10.116
3.570 1.349 8.040
5.447 3.088 7.847
1.885 3.086 0.976
3.629 1.351 4.193
```

Values from the calculation:
Excess energy over the best structure of this formula in the dataset: 0 meV per atom
Formation energy from raw total energies: -0.71 eV per atom

---

[6]
Computed, not measured: an optimized crystal structure of Hg3RhSe at the PBE level of DFT.

Structure (POSCAR):
```
Hg3RhSe
1.0
-4.606 -0.503 2.417
1.851 -4.090 2.675
1.634 3.214 3.783
Rh Hg Se
1 3 1
Cartesian
0.000 0.000 0.000
0.925 -2.045 1.337
0.817 1.607 1.892
-2.303 -0.252 1.209
-0.560 -0.690 4.438
```

Values from the calculation:
Excess energy over the best structure of this formula in the dataset: 0 meV per atom
Formation energy from raw total energies: 0.46 eV per atom

---

[7]
Computed, not measured: an optimized crystal structure of YMn2BiSb at the PBE level of DFT.

Structure (POSCAR):
```
YMn2BiSb
1.0
5.188 0.000 0.000
0.000 5.793 0.000
0.000 0.000 5.188
Y Sb Mn Bi
1 1 2 1
Cartesian
0.000 0.000 0.000
2.594 2.896 2.594
0.000 0.000 2.594
2.594 0.000 0.000
0.000 2.896 0.000
```

Values from the calculation:
Formation energy from raw total energies: 1.20 eV per atom

---

[8]
Computed, not measured: an optimized crystal structure of NbCr3Re at the PBE level of DFT.

Structure (POSCAR):
```
NbCr3Re
1.0
4.542 0.000 0.000
0.000 4.542 0.000
0.000 0.000 4.542
Re Nb Cr
1 1 3
Cartesian
0.000 0.000 0.000
2.271 2.271 2.271
0.000 2.271 0.000
0.000 0.000 2.271
2.271 0.000 0.000
```

Values from the calculation:
Excess energy over the best structure of this formula in the dataset: 0 meV per atom
Energy of formation: 7.2 eV per formula unit

---

[9]
Computed, not measured: an optimized crystal structure of SnSe2 at the PBE level of DFT.

Structure (POSCAR):
```
SnSe2
1.0
-3.337 1.888 -0.498
-2.761 -0.216 2.698
1.068 6.171 3.869
Sn Se
1 2
Cartesian
0.000 0.000 0.000
-3.610 6.005 4.603
-1.420 1.837 1.465
```

Values from the calculation:
Formation energy from raw total energies: -0.35 eV per atom

---

[10]
Computed, not measured: an optimized crystal structure of SrCa2La at the PBE level of DFT.

Structure (POSCAR):
```
SrCa2La
1.0
3.904 0.000 0.000
0.000 3.904 0.000
0.000 0.000 11.315
Sr Ca La
1 2 1
Cartesian
1.952 1.952 8.426
0.000 0.000 0.138
1.952 1.952 2.885
0.000 0.000 5.523
```

Values from the calculation:
Excess energy over the best structure of this formula in the dataset: 18 meV per atom
Energy of formation: 0.3 eV per formula unit

---

[11]
Computed, not measured: an optimized crystal structure of PmSm4Zn5 at the PBE level of DFT.

Structure (POSCAR):
```
PmSm4Zn5
1.0
3.644 0.000 0.000
0.000 3.644 0.000
0.000 0.000 18.245
Pm Sm Zn
1 4 5
Cartesian
0.000 0.000 0.000
0.000 0.000 3.663
0.000 0.000 7.304
0.000 0.000 10.942
0.000 0.000 14.582
1.822 1.822 1.848
1.822 1.822 5.480
1.822 1.822 9.123
1.822 1.822 12.765
1.822 1.822 16.397
```

Values from the calculation:
Energy of formation: -3.2 eV per formula unit

---

[12]
Computed, not measured: an optimized crystal structure of Ti2GaPt9 at the PBE level of DFT.

Structure (POSCAR):
```
Ti2GaPt9
1.0
3.948 0.000 0.000
0.000 3.948 0.000
0.000 0.000 11.831
Ti Ga Pt
2 1 9
Cartesian
0.000 0.000 3.909
0.000 0.000 7.922
0.000 0.000 0.000
1.974 1.974 0.000
1.974 1.974 3.961
1.974 1.974 7.870
1.974 0.000 2.021
1.974 0.000 5.915
1.974 0.000 9.810
0.000 1.974 2.021
0.000 1.974 5.915
0.000 1.974 9.810
```

Values from the calculation:
Energy of formation: -9.2 eV per formula unit